No. 1
The following is a PBE calculation of a relaxed CeBi2Rh crystal, from Alexandria.

Structure (POSCAR):
```
CeBi2Rh
1.0
2.303 -6.075 0.000
2.303 6.075 0.000
0.000 0.000 7.747
Ce Bi Rh
2 4 2
direct
0.081 0.919 0.750
0.919 0.081 0.250
0.366 0.634 0.536
0.366 0.634 0.964
0.634 0.366 0.036
0.634 0.366 0.464
0.120 0.880 0.250
0.880 0.120 0.750
```

Calculated values
Its energy of formation from the pure elements is -0.49 eV per atom.

=====

No. 2
The following is a PBE calculation of a relaxed Ce4BiRh2 crystal, from Alexandria.

Structure (POSCAR):
```
Ce4BiRh2
1.0
6.942 0.000 0.000
-1.352 6.815 0.000
-3.141 -3.091 7.576
Ce Bi Rh
8 2 4
direct
0.000 0.000 0.000
0.035 0.346 0.388
0.358 0.311 0.809
0.467 0.960 0.116
0.541 0.898 0.581
0.625 0.402 0.521
0.878 0.698 0.264
0.916 0.450 0.858
0.124 0.784 0.690
0.348 0.511 0.193
0.246 0.059 0.391
0.597 0.700 0.842
0.707 0.207 0.997
0.898 0.100 0.548
```

Calculated values
Its energy of formation from the pure elements is -0.54 eV per atom.

=====

No. 3
The following is a PBE calculation of a relaxed CeBi2Rh2 crystal, from Alexandria.

Structure (POSCAR):
```
CeBi2Rh2
1.0
6.763 0.000 0.000
0.000 4.834 0.000
-1.001 0.000 7.234
Ce Bi Rh
2 4 4
direct
0.142 0.250 0.151
0.858 0.750 0.849
0.158 0.750 0.488
0.452 0.250 0.804
0.548 0.750 0.196
0.842 0.250 0.512
0.221 0.750 0.891
0.427 0.250 0.391
0.573 0.750 0.609
0.779 0.250 0.109
```

Calculated values
The distance to the lowest polymorph of the same formula comes out at 0.072 eV per atom. Its energy of formation from the pure elements is -0.45 eV per atom.

=====

No. 4
The following is a PBE calculation of a relaxed CeBi3Rh crystal, from Alexandria.

Structure (POSCAR):
```
CeBi3Rh
1.0
6.800 0.000 0.000
0.000 6.822 0.000
0.000 0.000 6.213
Ce Bi Rh
2 6 2
direct
0.000 0.170 0.000
0.500 0.830 0.500
0.000 0.836 0.508
0.248 0.276 0.504
0.252 0.724 0.004
0.500 0.164 0.008
0.748 0.724 0.004
0.752 0.276 0.504
0.000 0.465 0.214
0.500 0.535 0.714
```

Calculated values
Its energy of formation from the pure elements is -0.35 eV per atom.

=====

No. 5
The following is a PBE calculation of a relaxed Ce6BiRh2 crystal, from Alexandria.

Structure (POSCAR):
```
Ce6BiRh2
1.0
7.200 -5.212 0.000
7.200 5.212 0.000
-3.079 0.000 6.150
Ce Bi Rh
12 2 4
direct
0.031 0.138 0.201
0.119 0.466 0.783
0.138 0.031 0.701
0.302 0.520 0.559
0.466 0.119 0.283
0.480 0.698 0.941
0.520 0.302 0.059
0.534 0.881 0.717
0.698 0.480 0.441
0.862 0.969 0.299
0.881 0.534 0.217
0.969 0.862 0.799
0.246 0.754 0.250
0.754 0.246 0.750
0.173 0.327 0.101
0.327 0.173 0.601
0.673 0.827 0.399
0.827 0.673 0.899
```

Calculated values
Its energy of formation from the pure elements is -0.36 eV per atom.

=====

No. 6
The following is a PBE calculation of a relaxed Ce8BiRh2 crystal, from Alexandria.

Structure (POSCAR):
```
Ce8BiRh2
1.0
4.198 -6.789 0.000
4.198 6.789 0.000
-1.227 0.000 5.149
Ce Bi Rh
8 1 2
direct
0.084 0.084 0.809
0.206 0.419 0.434
0.245 0.755 0.000
0.419 0.206 0.434
0.581 0.794 0.566
0.755 0.245 0.000
0.794 0.581 0.566
0.916 0.916 0.191
0.500 0.500 0.000
0.200 0.800 0.500
0.800 0.200 0.500
```

Calculated values
Its energy of formation from the pure elements is -0.34 eV per atom.